# 1
First-principles (PBE-GGA) data for a relaxed Nb2V2W crystal, as listed in Alexandria.

Computed properties:
The offset from the most stable computed form is 0.717 eV per atom. Its space-group type is P-3m1 (164). For the formation energy from the elements, the calculation gives 715 meV/atom. The density of states at the Fermi level comes out at 1.13 states/eV per atom. Its total energy is -9.55 eV per atom. The value obtained for the total moment is 0.0 μB/f.u.

Lattice parameters (Å, degrees): 4.4434 4.4434 5.2713 90.00 90.00 120.00
Element x y z (fractional)
V 0.6667 0.3333 0.2978
V 0.3333 0.6667 0.7022
W 0.0000 0.0000 0.0000
Nb 0.3333 0.6667 0.1985
Nb 0.6667 0.3333 0.8015

***

# 2
First-principles (PBE-GGA) data for a relaxed NbVW4 crystal, as listed in Alexandria.

Computed properties:
The offset from the most stable computed form is 0.000 eV per atom. Its space-group type is P4/mmm (123). For the formation energy from the elements, the calculation gives -72 meV/atom. The density of states at the Fermi level comes out at 0.38 states/eV per atom. Its total energy is -11.91 eV per atom. The value obtained for the total moment is 0.0 μB/f.u.

Lattice parameters (Å, degrees): 3.1735 3.1735 9.5364 90.00 90.00 90.00
Element x y z (fractional)
W 0.5000 0.5000 0.1606
W 0.0000 0.0000 0.3250
V 0.0000 0.0000 0.0000
W 0.0000 0.0000 0.6750
Nb 0.5000 0.5000 0.5000
W 0.5000 0.5000 0.8394